A geometry-optimized TeIO structure. Source: Alexandria via LeMat-Bulk, functional PBE.

```
TeIO
1.0
4.3736 0.0000 0.0000
-2.1860 4.4204 0.0000
-0.0288 -1.9280 9.3649
Te I O
2 2 2
Direct
0.0000 0.0000 0.0000 Te
0.2255 0.4538 0.7856 Te
0.3775 0.9969 0.5840 I
0.6112 0.4566 0.2016 I
0.3364 0.8414 0.9488 O
0.7212 0.6122 0.8368 O
```

Values from the calculation:
Distance to the lowest polymorph of the same formula, eV/atom: 0.000
E_form (uncorrected), eV/atom: -0.48
Calculated total energy, eV for the cell shown: -22.176
Mass density, kg/m³: 4962

---

A geometry-optimized ScAl2Cu2 structure. Source: Alexandria via LeMat-Bulk, functional PBE.

```
ScAl2Cu2
1.0
-1.9707 1.9707 5.2429
1.9707 -1.9707 5.2429
1.9707 1.9707 -5.2429
Sc Al Cu
1 2 2
Direct
0.0000 0.0000 0.0000 Sc
0.2500 0.7500 0.5000 Al
0.7500 0.2500 0.5000 Al
0.3892 0.3892 0.0000 Cu
0.6108 0.6108 0.0000 Cu
```

Values from the calculation:
ΔE_f, eV/f.u.: -1.62
Density of states at the Fermi level, states/eV per cell: 2.7
Distance to the lowest polymorph of the same formula, eV/atom: 0.000
Calculated total energy, eV for the cell shown: -23.625
Mass density, kg/m³: 4608

---

A geometry-optimized NaVAsBr2 structure. Source: Alexandria via LeMat-Bulk, functional PBE.

```
NaVAsBr2
1.0
5.3353 0.0000 0.0000
0.0000 5.3353 0.0000
0.0000 0.0000 4.7771
Na V As Br
1 1 1 2
Direct
0.0000 0.0000 0.0000 Na
0.5000 0.5000 0.5000 V
0.5000 0.5000 0.0000 As
0.0000 0.5000 0.5000 Br
0.5000 0.0000 0.5000 Br
```

Values from the calculation:
Density of states at the Fermi level, states/eV per cell: 1.7
Distance to the lowest polymorph of the same formula, eV/atom: 0.000
E_form (uncorrected), eV/atom: -0.47
Calculated total energy, eV for the cell shown: -20.763
Mass density, kg/m³: 3769

---

A geometry-optimized TcOs3W structure. Source: Alexandria via LeMat-Bulk, functional PBE.

```
TcOs3W
1.0
4.5849 0.0000 0.0000
0.0000 4.5849 0.0000
0.0000 0.0000 4.5849
Tc Os W
1 3 1
Direct
0.0000 0.0000 0.0000 Tc
0.0000 0.0000 0.5000 Os
0.0000 0.5000 0.0000 Os
0.5000 0.0000 0.0000 Os
0.5000 0.5000 0.5000 W
```

Values from the calculation:
ΔE_f, eV/f.u.: 12.68
Density of states at the Fermi level, states/eV per cell: 10.7
Distance to the lowest polymorph of the same formula, eV/atom: 2.091
Calculated total energy, eV for the cell shown: -44.331
Mass density, kg/m³: 14688

---

A geometry-optimized BaSbP2 structure. Source: Alexandria via LeMat-Bulk, functional PBE.

```
BaSbP2
1.0
0.0000 3.7468 3.7468
3.7468 0.0000 3.7468
3.7468 3.7468 0.0000
Ba Sb P
1 1 2
Direct
0.0000 0.0000 0.0000 Ba
0.2500 0.2500 0.2500 Sb
0.5000 0.5000 0.5000 P
0.7500 0.7500 0.7500 P
```

Values from the calculation:
Density of states at the Fermi level, states/eV per cell: 3.3
E_form (uncorrected), eV/atom: 0.30
Calculated total energy, eV for the cell shown: -15.670
Mass density, kg/m³: 5067

---

A geometry-optimized Sr2CdOs structure. Source: Alexandria via LeMat-Bulk, functional PBE.

```
Sr2CdOs
1.0
4.2272 -1.6287 0.0000
4.2272 1.6287 0.0000
-1.0510 0.0000 8.7401
Sr Cd Os
2 1 1
Direct
0.2404 0.2404 0.2035 Sr
0.7596 0.7596 0.7965 Sr
0.0000 0.0000 0.5000 Cd
0.5000 0.5000 0.0000 Os
```

Values from the calculation:
ΔE_f, eV/f.u.: 2.38
Density of states at the Fermi level, states/eV per cell: 2.4
Calculated total energy, eV for the cell shown: -13.133
Mass density, kg/m³: 6594

---

A geometry-optimized AcDyYIn structure. Source: Alexandria via LeMat-Bulk, functional PBE.

```
AcDyYIn
1.0
0.0000 4.0069 4.0069
4.0069 0.0000 4.0069
4.0069 4.0069 0.0000
Ac Dy Y In
1 1 1 1
Direct
0.0000 0.0000 0.0000 Ac
0.7500 0.7500 0.7500 Dy
0.5000 0.5000 0.5000 Y
0.2500 0.2500 0.2500 In
```

Values from the calculation:
ΔE_f, eV/f.u.: -0.40
Density of states at the Fermi level, states/eV per cell: 5.5
Distance to the lowest polymorph of the same formula, eV/atom: 0.000
Calculated total energy, eV for the cell shown: -18.308
Mass density, kg/m³: 7656

---

A geometry-optimized TeC3 structure. Source: Alexandria via LeMat-Bulk, functional PBE.

```
TeC3
1.0
-1.9655 1.9655 2.8425
1.9655 -1.9655 2.8425
1.9655 1.9655 -2.8425
Te C
1 3
Direct
0.0000 0.0000 0.0000 Te
0.2500 0.7500 0.5000 C
0.5000 0.5000 0.0000 C
0.7500 0.2500 0.5000 C
```

Values from the calculation:
Density of states at the Fermi level, states/eV per cell: 2.2
Distance to the lowest polymorph of the same formula, eV/atom: 2.499
E_form (uncorrected), eV/atom: 3.47
Calculated total energy, eV for the cell shown: -16.953
Mass density, kg/m³: 6186

---

| no. | size of the total moment (μB per atom) |
| --- | --- |
| 1 | 0.000 |
| 2 | 0.000 |
| 3 | 0.224 |
| 4 | 0.000 |
| 5 | 0.000 |
| 6 | 0.063 |
| 7 | 0.282 |
| 8 | 0.000 |